## CeEuIn4 (PBE)

Data for crystalline CeEuIn4 at its relaxed geometry.

Unit cell a=6.1364 b=6.1364 c=6.1364 alpha=60.00 beta=60.00 gamma=60.00
Last column: magnetic moment on the atom in μB.
Sites, in units of the cell vectors:
In 0.1258 0.6247 0.6247  0.00
In 0.6247 0.6247 0.6247  0.00
In 0.6247 0.6247 0.1258  0.00
In 0.6247 0.1258 0.6247  0.00
Eu 0.0000 0.0000 0.0000  6.87
Ce 0.2500 0.2500 0.2500  0.99

Properties
Formation energy from the elements ... -0.3551 eV per atom
Final energy ... -4.88 eV per atom
SG ... F-43m (216)